[1]
Here is a relaxed La8Zn2Co crystal from Alexandria via LeMat-Bulk. Energies are from PBE.

extended XYZ file:
```
11
Lattice="-1.116 -4.886 1.882 6.751 -1.415 0.331 -2.221 6.184 7.121" Properties=species:S:1:pos:R:3 pbc="T T T"
La -1.594 2.503 5.552
La 2.619 -1.269 5.872
La 1.673 2.255 6.846
La -1.891 0.890 8.803
La 5.007 -2.620 3.783
La 5.304 -1.007 0.531
La 1.740 -2.372 2.489
La 0.795 1.152 3.462
Zn -0.372 -0.427 6.284
Zn 3.785 0.310 3.050
Co -0.558 -2.443 0.941
```

Offset from the most stable computed form, eV/f.u.: 0.00
Crystal system: monoclinic
Total DFT energy (no corrections), eV per atom: -4.56



[2]
Here is a relaxed TmCuPd crystal from Alexandria via LeMat-Bulk. Energies are from PBE.

extended XYZ file:
```
12
Lattice="3.924 0.000 0.000 0.000 6.999 0.000 0.000 0.000 8.057" Properties=species:S:1:pos:R:3 pbc="T T T"
Tm 2.943 3.856 2.456
Tm 2.943 0.357 1.572
Tm 0.981 6.642 6.484
Tm 0.981 3.142 5.601
Pd 0.981 5.306 0.930
Pd 2.943 1.692 7.127
Pd 0.981 1.807 3.098
Pd 2.943 5.192 4.958
Cu 2.943 4.347 7.510
Cu 0.981 6.151 3.482
Cu 0.981 2.651 0.547
Cu 2.943 0.848 4.575
```

Offset from the most stable computed form, eV/f.u.: 0.00
Crystal system: orthorhombic
Total DFT energy (no corrections), eV per atom: -5.23



[3]
Here is a relaxed AsRuO crystal from Alexandria via LeMat-Bulk. Energies are from PBE.

extended XYZ file:
```
12
Lattice="5.633 0.000 0.000 0.000 5.474 -0.186 0.000 -1.662 5.429" Properties=species:S:1:pos:R:3 pbc="T T T"
As 0.647 0.593 3.703
As 3.463 2.388 4.254
As 2.170 1.424 0.989
As 4.987 3.219 1.539
O 2.286 3.527 3.306
O 5.103 -0.546 4.651
O 3.347 0.285 1.936
O 0.531 4.358 0.592
Ru 0.043 2.902 3.754
Ru 5.591 0.910 1.488
Ru 2.859 0.079 4.203
Ru 2.774 3.733 1.040
```

Crystal system: monoclinic
Total DFT energy (no corrections), eV per atom: -6.87



[4]
Here is a relaxed RbCd3Ag2 crystal from Alexandria via LeMat-Bulk. Energies are from PBE.

extended XYZ file:
```
12
Lattice="-4.405 -0.595 -3.958 2.776 -6.705 -2.081 -4.773 -1.762 5.577" Properties=species:S:1:pos:R:3 pbc="T T T"
Rb -1.795 -3.090 0.225
Rb -4.607 -5.972 -0.687
Cd -1.046 -7.345 0.031
Cd -5.356 -1.717 -0.493
Cd -2.320 -3.705 -3.573
Cd -3.427 -0.971 -2.752
Cd -2.975 -8.091 2.290
Cd -4.082 -5.357 3.112
Ag -5.414 -3.082 2.014
Ag -0.988 -5.980 -2.476
Ag -3.212 -2.784 3.993
Ag 1.215 -5.682 -0.497
```

Crystal system: orthorhombic
Total DFT energy (no corrections), eV per atom: -1.64